# PBE KYBeO2, optimized geometry
# ΔE_f (raw), kJ/mol of formula units: -22
# Crystal system: tetragonal
# DOS at the Fermi energy, states/eV per cell: 1.56
# Uncorrected energy, eV/atom: -4.287
data_KYBeO2
_cell_length_a 4.0259
_cell_length_b 4.0259
_cell_length_c 4.3761
_cell_angle_alpha 90.00
_cell_angle_beta 90.00
_cell_angle_gamma 90.00
_space_group_name_H-M_alt 'P 4/m m m'
_space_group_IT_number 123
_space_group_name_Hall '-P 4 2'
loop_
_atom_site_label
_atom_site_type_symbol
_atom_site_fract_x
_atom_site_fract_y
_atom_site_fract_z
K1 K 0.0000 0.0000 0.0000
Y1 Y 0.5000 0.5000 0.0000
Be1 Be 0.5000 0.5000 0.5000
O1 O 0.0000 0.5000 0.5000